Entry from Alexandria: a relaxed structure of TlSnPt3 (PBE).

Lattice parameters (Å, degrees): 5.0622 5.0622 5.0622 90.00 90.00 90.00
With the nearest neighbours (Å) after each atom.
Atoms (fractional coordinates):
1 Tl 0.0000 0.0000 0.0000  6 Pt 2.53
2 Pt 0.5000 0.0000 0.0000  2 Tl 2.53
3 Sn 0.5000 0.5000 0.5000  12 Pt 3.58
4 Pt 0.0000 0.0000 0.5000  2 Tl 2.53
5 Pt 0.0000 0.5000 0.0000  2 Tl 2.53

DOS(E_F): 1.66 states/eV/cell
symmetry: No. 221
energy relative to the lowest polymorph listed for this composition: 339 meV/atom
energy relative to the elements: 95 kJ per mole of atoms

***

Entry from Alexandria: a relaxed structure of Ba2In5Pd4 (PBE).

Lattice parameters (Å, degrees): 6.3397 6.5914 8.4318 79.58 67.92 61.26
With the nearest neighbours (Å) after each atom.
Atoms (fractional coordinates):
1 Pd 0.2211 0.2970 0.2609  5 In 2.66-2.84
2 In 0.0000 0.5000 0.0000  4 Pd 2.84, 2 In 3.17
3 Ba 0.1466 0.0000 0.7069  6 Pd 3.61-3.88, 10 In 3.67-4.01
4 In 0.2500 0.5000 0.5000  4 Pd 2.72
5 In 0.5000 0.0000 0.0000  4 Pd 2.66
6 In 0.7500 0.5000 0.5000  4 Pd 2.72
7 In 0.5000 0.5000 0.0000  4 Pd 2.84, 2 In 3.17
8 Pd 0.7789 0.7030 0.7391  5 In 2.66-2.84
9 Pd 0.4820 0.2970 0.7391  5 In 2.66-2.84
10 Ba 0.8534 0.0000 0.2931  6 Pd 3.61-3.88, 10 In 3.67-4.01
11 Pd 0.5180 0.7030 0.2609  5 In 2.66-2.84

DOS(E_F): 5.98 states/eV/cell
symmetry: No. 69
energy relative to the lowest polymorph listed for this composition: 0 meV/atom
energy relative to the elements: -49 kJ per mole of atoms

***

> energy relative to the elements of number 2 (Ba2In5Pd4)?

-49 kJ per mole of atoms